A relaxed ScSi2Ag crystal, computed with PBE.

Summary:
**Formation energy from raw total energies**: 8.56 kJ per mole of atoms
**Total energy**: -0.362 Ry/atom
**Symmetry**: No. 160

Unit cell a=8.7939 b=8.7939 c=8.7939 alpha=20.04 beta=20.04 gamma=20.04
Last column: nearest neighbours and their distance in Å.
Element x y z (fractional)
Ag (0.5080, 0.5080, 0.5080)  3 Si 2.74, 6 Ag 3.06
Sc (0.7439, 0.7439, 0.7439)  3 Si 2.81, 6 Sc 3.06, 3 Ag 3.08
Si (0.9925, 0.9925, 0.9925)  3 Si 2.53, 3 Sc 2.81
Si (0.2557, 0.2557, 0.2557)  3 Si 2.53, 3 Ag 2.74